A plane-wave DFT calculation with PBE-GGA was carried out for crystalline KSc2Co at its relaxed geometry.

The value obtained for the energy relative to the lowest polymorph listed for this composition is 681.2 meV per atom.

a b c (Å): 11.3367 11.3367 11.3367
angles (deg): 16.34 16.34 16.34
With the nearest neighbours (Å) after each atom.
Positions (direct):
K 0.0000 0.0000 0.0000  6 K 3.22
Sc 0.4339 0.4339 0.4339  1 Co 2.22
Sc 0.5661 0.5661 0.5661  1 Co 2.22
Co 0.5000 0.5000 0.5000  2 Sc 2.22